NaTlAu after structural relaxation, computed with GGA-PBE.

```
NaTlAu
1.0
-0.699 -1.104 3.083
-1.528 -4.353 -1.906
4.779 0.613 1.304
Tl Na Au
1 1 1
Direct
0.164 0.000 0.000 Tl
0.666 0.667 0.333 Na
0.170 0.333 0.667 Au
```

## Properties
- total moment (μB/f.u.) = 0.0
- N(E_F) (states/eV per cell) = 0.91
- formation enthalpy at 0 K (eV per atom) = -0.191

=====

Na4TlAu3 after structural relaxation, computed with GGA-PBE.

```
Na4TlAu3
1.0
-3.950 -1.752 -1.612
-0.986 -4.493 7.299
-4.640 7.048 3.711
Na Tl Au
8 2 6
Direct
0.995 0.771 0.250 Na
0.005 0.771 0.750 Na
0.500 0.229 0.000 Na
0.995 0.229 0.250 Na
0.500 0.771 0.500 Na
0.005 0.229 0.750 Na
0.500 0.229 0.500 Na
0.500 0.771 0.000 Na
0.000 0.500 0.500 Tl
0.000 0.500 0.000 Tl
0.000 0.000 0.000 Au
0.000 0.000 0.500 Au
0.502 0.500 0.750 Au
0.498 0.500 0.250 Au
0.491 0.000 0.250 Au
0.509 0.000 0.750 Au
```

## Properties
- total moment (μB/f.u.) = 0.0
- N(E_F) (states/eV per cell) = 5.96
- formation enthalpy at 0 K (eV per atom) = -0.230

=====

Na2Tl6Au after structural relaxation, computed with GGA-PBE.

```
Na2Tl6Au
1.0
3.836 0.000 0.000
0.000 8.763 0.000
0.000 -4.382 7.615
Tl Na Au
6 2 1
Direct
0.500 0.372 0.371 Tl
0.000 0.999 0.263 Tl
0.500 0.626 0.000 Tl
0.000 0.265 0.000 Tl
0.000 0.736 0.737 Tl
0.500 0.001 0.629 Tl
0.000 0.333 0.665 Na
0.000 0.668 0.335 Na
0.500 0.000 0.000 Au
```

## Properties
- total moment (μB/f.u.) = 0.0
- N(E_F) (states/eV per cell) = 4.28
- E above lowest polymorph (eV per formula unit) = 0.00
- formation enthalpy at 0 K (eV per atom) = -0.075

=====

NaTlAu2 after structural relaxation, computed with GGA-PBE.

```
NaTlAu2
1.0
4.091 0.000 0.000
0.000 4.595 0.000
0.000 0.000 4.595
Na Tl Au
1 1 2
Direct
0.500 0.500 0.500 Na
0.500 0.000 0.000 Tl
0.000 0.500 0.000 Au
0.000 0.000 0.500 Au
```

## Properties
- total moment (μB/f.u.) = 0.0
- N(E_F) (states/eV per cell) = 0.66
- formation enthalpy at 0 K (eV per atom) = -0.153

=====

Na2TlAu2 after structural relaxation, computed with GGA-PBE.

```
Na2TlAu2
1.0
4.391 0.000 0.000
0.000 4.391 0.000
2.196 2.196 6.706
Tl Au Na
1 2 2
Direct
0.000 0.000 0.000 Tl
0.397 0.397 0.205 Au
0.603 0.603 0.795 Au
0.250 0.750 0.500 Na
0.750 0.250 0.500 Na
```

## Properties
- total moment (μB/f.u.) = 0.0
- N(E_F) (states/eV per cell) = 2.15
- E above lowest polymorph (eV per formula unit) = 0.69
- formation enthalpy at 0 K (eV per atom) = -0.121

=====

Na8Tl5Au after structural relaxation, computed with GGA-PBE.

```
Na8Tl5Au
1.0
7.851 -0.214 -2.322
-4.433 6.483 -2.322
0.117 0.214 8.186
Au Na Tl
1 8 5
Direct
0.250 0.750 0.500 Au
0.073 0.975 0.616 Na
0.579 0.895 0.357 Na
0.538 0.222 0.643 Na
0.778 0.421 0.316 Na
0.544 0.927 0.902 Na
0.359 0.456 0.384 Na
0.025 0.641 0.098 Na
0.105 0.462 0.684 Na
0.946 0.013 0.234 Tl
0.987 0.221 0.933 Tl
0.779 0.712 0.766 Tl
0.500 0.500 0.000 Tl
0.288 0.054 0.067 Tl
```

## Properties
- total moment (μB/f.u.) = 0.0
- N(E_F) (states/eV per cell) = 5.80
- formation enthalpy at 0 K (eV per atom) = -0.098

=====

Na3TlAu4 after structural relaxation, computed with GGA-PBE.

```
Na3TlAu4
1.0
-4.624 -3.429 -2.438
-1.140 -7.246 -3.759
0.467 5.001 8.223
Au Tl Na
4 1 3
Direct
0.659 0.741 0.499 Au
0.265 0.376 0.002 Au
0.389 0.251 0.500 Au
0.507 0.885 0.001 Au
0.742 0.401 0.998 Tl
0.181 0.721 0.500 Na
0.923 0.222 0.501 Na
0.984 0.902 0.000 Na
```

## Properties
- total moment (μB/f.u.) = 0.0
- N(E_F) (states/eV per cell) = 2.17
- formation enthalpy at 0 K (eV per atom) = -0.230

=====

Na2TlAu2 after structural relaxation, computed with GGA-PBE.

```
Na2TlAu2
1.0
8.978 0.000 0.000
0.000 8.978 0.000
0.000 0.000 2.931
Au Tl Na
4 2 4
Direct
0.663 0.837 0.500 Au
0.337 0.163 0.500 Au
0.163 0.663 0.500 Au
0.837 0.337 0.500 Au
0.000 0.000 0.000 Tl
0.500 0.500 0.000 Tl
0.133 0.367 0.000 Na
0.367 0.867 0.000 Na
0.633 0.133 0.000 Na
0.867 0.633 0.000 Na
```

## Properties
- total moment (μB/f.u.) = 0.0
- N(E_F) (states/eV per cell) = 3.04
- E above lowest polymorph (eV per formula unit) = 0.49
- formation enthalpy at 0 K (eV per atom) = -0.161